Material: La2TcBr
Method: DFT, PBE
State: relaxed

The structure belongs to space group C2/m (No. 12); the cell edges are 5.833, 4.403 and 8.651 Å and the angles 90.00°, 99.66° and 90.00°. The inequivalent atoms are La at (0.057, 0.000, 0.208), Tc at (0.000, 0.500, 0.000) and Br at (0.000, 0.500, 0.500).

The calculation puts the raw total energy at -49.007 eV for the cell shown. The density of states at the Fermi level comes out at 3.41 states/eV per cell. Its energy above the most stable polymorph in this dataset is 0.000 eV/atom.

---

Material: Ac5Cd2In2
Method: DFT, PBE
State: relaxed

The structure belongs to space group Cmce (No. 64); the cell edges are 18.010, 8.718 and 8.547 Å and the angles 90.00°, 90.00° and 90.00°. The inequivalent atoms are Ac at (0.000, 0.000, 0.000), Ac at (0.141, 0.182, 0.326), Cd at (0.000, 0.120, 0.620) and In at (0.212, 0.000, 0.000).

The formation energy is -255 meV per atom. The calculation puts the raw total energy at -120.571 eV for the cell shown. The density of states at the Fermi level comes out at 43.71 states/eV per cell.

---

Material: Ho6Pd2O
Method: DFT, PBE
State: relaxed

The structure belongs to space group P2_1/c (No. 14); the cell edges are 6.390, 6.954 and 11.374 Å and the angles 90.00°, 122.78° and 90.00°. The inequivalent atoms are Ho at (0.122, 0.025, 0.244), Ho at (0.233, 0.688, 0.058), Ho at (0.371, 0.181, 0.057), Pd at (0.304, 0.099, 0.753) and O at (0.000, 0.000, 0.000).

The calculation puts the raw total energy at -104.835 eV for the cell shown. The density of states at the Fermi level comes out at 17.10 states/eV per cell.

---

Material: LaInMo2
Method: DFT, PBE
State: relaxed

The structure belongs to space group R-3m (No. 166, hexagonal axes); the cell edges are 3.0239, 3.0239 and 31.3492 Å and the angles 90.00°, 90.00° and 120.00°. The inequivalent atoms are La at (0.0000, 0.0000, 0.0000), In at (0.0000, 0.0000, 0.5000) and Mo at (0.0000, 0.0000, 0.2423).

The formation energy is 773 meV per atom. The calculation puts the raw total energy at -78.712 eV for the cell shown. The density of states at the Fermi level comes out at 17.78 states/eV per cell.

---

Material: Ca2SeCl
Method: DFT, PBE
State: relaxed

The structure belongs to space group F-43m (No. 216); the cell edges are 7.494, 7.494 and 7.494 Å and the angles 90.00°, 90.00° and 90.00°. The inequivalent atoms are Ca at (0.000, 0.000, 0.000), Ca at (0.250, 0.250, 0.250), Se at (0.250, 0.250, 0.750) and Cl at (0.000, 0.000, 0.500).

The calculation puts the raw total energy at -49.598 eV for the cell shown. The density of states at the Fermi level comes out at 10.51 states/eV per cell. Its energy above the most stable polymorph in this dataset is 0.993 eV/atom.

---

Material: Ac4TbHg5
Method: DFT, PBE
State: relaxed

The structure belongs to space group P4/mmm (No. 123); the cell edges are 3.970, 3.970 and 20.074 Å and the angles 90.00°, 90.00° and 90.00°. The inequivalent atoms are Ac at (0.000, 0.000, 0.103), Ac at (0.000, 0.000, 0.310), Tb at (0.000, 0.000, 0.500), Hg at (0.500, 0.500, 0.000), Hg at (0.500, 0.500, 0.206) and Hg at (0.500, 0.500, 0.417).

The formation energy is -463 meV per atom. The calculation puts the raw total energy at -27.205 eV for the cell shown. The density of states at the Fermi level comes out at 11.15 states/eV per cell.

---

Material: Sm2AgIr
Method: DFT, PBE
State: relaxed

The structure belongs to space group Pmma (No. 51); the cell edges are 5.167, 3.612 and 10.106 Å and the angles 90.00°, 90.00° and 90.00°. The inequivalent atoms are Sm at (0.250, 0.000, 0.111), Sm at (0.250, 0.000, 0.649), Ag at (0.250, 0.500, 0.383) and Ir at (0.250, 0.500, 0.876).

The formation energy is -505 meV per atom. The calculation puts the raw total energy at -46.341 eV for the cell shown. The density of states at the Fermi level comes out at 4.99 states/eV per cell. Its energy above the most stable polymorph in this dataset is 0.000 eV/atom.

---

Material: TbScHgPd
Method: DFT, PBE
State: relaxed

The structure belongs to space group P4mm (No. 99); the cell edges are 3.417, 3.417 and 7.470 Å and the angles 90.00°, 90.00° and 90.00°. The inequivalent atoms are Tb at (0.000, 0.000, 0.000), Sc at (0.000, 0.000, 0.453), Hg at (0.500, 0.500, 0.705) and Pd at (0.500, 0.500, 0.259).

The formation energy is -662 meV per atom. The calculation puts the raw total energy at -19.104 eV for the cell shown. The density of states at the Fermi level comes out at 2.63 states/eV per cell. Its energy above the most stable polymorph in this dataset is 0.000 eV/atom.